No. 1
A plane-wave DFT calculation with PBE-GGA was carried out for a relaxed structure of Na5Tl2Sn4.

a b c (Å): 9.009 9.009 6.131
angles (deg): 93.31 93.31 40.48
Element x y z (fractional)
Na  0.000  0.000  0.000
Na  0.168  0.642  0.368
Na  0.358  0.832  0.632
Na  0.642  0.168  0.368
Na  0.832  0.358  0.632
Tl  0.198  0.198  0.098
Tl  0.802  0.802  0.902
Sn  0.258  0.258  0.601
Sn  0.416  0.416  0.866
Sn  0.584  0.584  0.134
Sn  0.742  0.742  0.399

formation energy from the elements = -0.06 eV per atom
total DFT energy (no corrections) = -2.549 eV/atom
total magnetic moment = 0.0 Bohr magnetons per cell

---

No. 2
A plane-wave DFT calculation with PBE-GGA was carried out for a relaxed structure of Cs2PaTe2S2.

a b c (Å): 17.290 4.989 7.060
angles (deg): 90.00 114.07 90.00
Element x y z (fractional)
Cs  0.186  0.000  0.186
Cs  0.314  0.500  0.814
Cs  0.686  0.500  0.186
Cs  0.814  0.000  0.814
Pa  0.000  0.000  0.500
Pa  0.500  0.500  0.500
Te  0.000  0.500  0.230
Te  0.000  0.500  0.770
Te  0.500  0.000  0.230
Te  0.500  0.000  0.770
S  0.157  0.000  0.658
S  0.343  0.500  0.342
S  0.657  0.500  0.658
S  0.843  0.000  0.342

formation energy without anion corrections = -1.110 eV per atom
total DFT energy (no corrections) = -4.787 eV/atom
total magnetic moment = 0.0 Bohr magnetons per cell

---

No. 3
A plane-wave DFT calculation with PBE-GGA was carried out for a relaxed structure of Ti9InGa2.

a b c (Å): 4.067 4.067 12.209
angles (deg): 90.00 90.00 90.00
Element x y z (fractional)
Ti  0.000  0.000  0.000
Ti  0.000  0.000  0.338
Ti  0.000  0.000  0.662
Ti  0.000  0.500  0.176
Ti  0.000  0.500  0.500
Ti  0.000  0.500  0.824
Ti  0.500  0.000  0.176
Ti  0.500  0.000  0.500
Ti  0.500  0.000  0.824
In  0.500  0.500  0.000
Ga  0.500  0.500  0.337
Ga  0.500  0.500  0.663

formation energy from the elements = -0.24 eV per atom
total DFT energy (no corrections) = -6.897 eV/atom
total magnetic moment = 0.0 Bohr magnetons per cell

---

No. 4
A plane-wave DFT calculation with PBE-GGA was carried out for a relaxed structure of PuGeAu.

a b c (Å): 4.630 4.630 3.467
angles (deg): 90.00 90.00 120.00
Element x y z (fractional)
Pu  0.000  0.000  0.000
Ge  0.667  0.333  0.500
Au  0.333  0.667  0.500

formation energy from the elements = -0.47 eV per atom
total DFT energy (no corrections) = -7.876 eV/atom
total magnetic moment = 5.6 Bohr magnetons per cell

---

No. 5
A plane-wave DFT calculation with PBE-GGA was carried out for a relaxed structure of RbPt5.

a b c (Å): 5.120 15.683 2.795
angles (deg): 90.00 90.00 90.00
Element x y z (fractional)
Rb  0.000  0.000  0.000
Rb  0.500  0.500  0.000
Pt  0.000  0.204  0.500
Pt  0.000  0.352  0.000
Pt  0.000  0.500  0.500
Pt  0.000  0.648  0.000
Pt  0.000  0.796  0.500
Pt  0.500  0.000  0.500
Pt  0.500  0.148  0.000
Pt  0.500  0.296  0.500
Pt  0.500  0.704  0.500
Pt  0.500  0.852  0.000

formation energy from the elements = 0.29 eV per atom
total DFT energy (no corrections) = -4.905 eV/atom
total magnetic moment = 0.0 Bohr magnetons per cell

---

No. 6
A plane-wave DFT calculation with PBE-GGA was carried out for a relaxed structure of ThTl2Cd.

a b c (Å): 4.998 4.998 15.651
angles (deg): 90.00 90.00 120.00
Element x y z (fractional)
Th  0.000  0.000  0.000
Th  0.333  0.667  0.667
Th  0.667  0.333  0.333
Tl  0.000  0.000  0.236
Tl  0.000  0.000  0.484
Tl  0.333  0.667  0.151
Tl  0.333  0.667  0.903
Tl  0.667  0.333  0.570
Tl  0.667  0.333  0.817
Cd  0.000  0.000  0.763
Cd  0.333  0.667  0.429
Cd  0.667  0.333  0.096

formation energy from the elements = 0.07 eV per atom
total DFT energy (no corrections) = -3.193 eV/atom
total magnetic moment = 0.0 Bohr magnetons per cell
relative energy among the computed polymorphs = 0.95 eV/f.u.

---

No. 7
A plane-wave DFT calculation with PBE-GGA was carried out for a relaxed structure of Nb2VBiRh.

a b c (Å): 5.146 5.146 4.816
angles (deg): 90.00 90.00 90.00
Element x y z (fractional)
Nb  0.000  0.500  0.000
Nb  0.500  0.000  0.000
V  0.000  0.000  0.500
Bi  0.500  0.500  0.000
Rh  0.500  0.500  0.500

formation energy from the elements = 2.01 eV per atom
total DFT energy (no corrections) = -6.090 eV/atom
total magnetic moment = 1.2 Bohr magnetons per cell

---

No. 8
A plane-wave DFT calculation with PBE-GGA was carried out for a relaxed structure of TmThCo10.

a b c (Å): 3.976 4.905 8.539
angles (deg): 90.00 90.00 90.00
Element x y z (fractional)
Tm  0.000  0.000  0.000
Th  0.000  0.500  0.500
Co  0.000  0.000  0.332
Co  0.000  0.000  0.668
Co  0.000  0.500  0.170
Co  0.000  0.500  0.830
Co  0.500  0.000  0.500
Co  0.500  0.242  0.242
Co  0.500  0.242  0.758
Co  0.500  0.500  0.000
Co  0.500  0.758  0.242
Co  0.500  0.758  0.758

formation energy from the elements = -0.14 eV per atom
total DFT energy (no corrections) = -7.048 eV/atom
total magnetic moment = 13.3 Bohr magnetons per cell